VASP calculation (PBE) on MnFe2B2 after structural relaxation.

```
MnFe2B2
1.0
-1.961 -3.303 3.993
4.255 1.412 3.257
-1.536 2.190 1.057
B Mn Fe
4 2 4
Direct
0.383 0.883 0.000
0.883 0.617 0.000
0.617 0.117 0.000
0.117 0.383 0.000
0.000 0.000 0.000
0.500 0.500 0.000
0.174 0.674 0.500
0.674 0.826 0.500
0.826 0.326 0.500
0.326 0.174 0.500
```

The density of states at the Fermi level comes out at 3.71 states/eV/f.u. As for the calculated formation energy: -0.28 eV/atom. Its crystal system is tetragonal.